{"formula": "Pr4Se2N", "functional": "GGA-PBE", "state": "optimized geometry", "m_tot_mub_per_fu": 0.00, "total_energy_ev_per_cell": -42.195, "crystal_system": "tetragonal", "formation_energy_uncorrected_ev_per_atom": -1.112, "cell": [[4.819, 0.000, 0.000], [0.000, 4.819, 0.000], [2.410, 2.410, 7.863]], "species": ["Se", "Pr", "Pr", "N", "Pr", "Pr", "Se"], "fractional_positions": [[0.636, 0.636, 0.728], [0.000, 0.500, 0.000], [0.830, 0.830, 0.339], [0.000, 0.000, 0.000], [0.170, 0.170, 0.661], [0.500, 0.000, 0.000], [0.364, 0.364, 0.272]]}